[1]
DFT (meta-GGA SCAN) results for a PBEsol-optimized structure of ZnReIr2.

Calculated values
Space-group type = Cmm2
Energy relative to the elements = 0.216 eV/atom
Energy above the most stable polymorph in this dataset = 493 meV per atom
Magnetic moment = 0.00 μB per formula unit
Crystal system = orthorhombic
Total energy = -56.49 eV per atom

Lattice parameters (Å, degrees): 2.6966 2.6966 9.0690 90.00 90.00 119.24
Fractional coordinates of all 4 atoms:
Ir 0.0000 0.0000 0.0072
Ir 0.5000 0.5000 0.7470
Re 0.0000 0.0000 0.4995
Zn 0.5000 0.5000 0.2463

---

[2]
DFT (meta-GGA SCAN) results for a PBEsol-optimized structure of ZnReIr2.

Calculated values
Space-group type = R-3m
Energy relative to the elements = -0.159 eV/atom
Energy above the most stable polymorph in this dataset = 118 meV per atom
Magnetic moment = 0.00 μB per formula unit
Crystal system = trigonal
Total energy = -56.86 eV per atom

Lattice parameters (Å, degrees): 2.7293 2.7293 8.8543 81.13 81.13 60.00
Fractional coordinates of all 4 atoms:
Re 0.5000 0.5000 0.5000
Zn 0.0000 0.0000 0.0000
Ir 0.2498 0.2498 0.2505
Ir 0.7502 0.7502 0.7495

---

Question: Which value of magnetic moment does entry 1 give?
Answer: 0.00 μB per formula unit